Entry 1:
DFT (GGA-PBE) results for a relaxed structure of Co2IrSe.

Properties
Space-group type: P4/mmm, No. 123
E_tot (eV/atom): -6.2676
DOS at the Fermi energy (states/eV/cell): 6.9
Total moment (μB/cell): 2.4
ΔE_f (raw) (meV per atom): 371.7

a = 4.4269 Å, b = 4.4269 Å, c = 2.7291 Å
α = 90.00°, β = 90.00°, γ = 90.00°
Closest atoms and distances in Å follow each position.
Positions (direct):
Co1 0.0000 0.5000 0.0000  4 Se 2.60, 4 Ir 2.60, 2 Co 2.73
Co2 0.5000 0.0000 0.0000  4 Se 2.60, 4 Ir 2.60, 2 Co 2.73
Ir1 0.0000 0.0000 0.5000  8 Co 2.60, 2 Ir 2.73
Se1 0.5000 0.5000 0.5000  8 Co 2.60, 2 Se 2.73



Entry 2:
DFT (GGA-PBE) results for a relaxed structure of MgCu2Ir.

Properties
Space-group type: Cmm2, No. 35
E_tot (eV/atom): -4.5849
DOS at the Fermi energy (states/eV/cell): 2.5
Formation enthalpy at 0 K (kcal/mol of atoms): 1.78
Total moment (μB/cell): 0.0

a = 2.6987 Å, b = 2.6987 Å, c = 8.5904 Å
α = 90.00°, β = 90.00°, γ = 114.73°
Closest atoms and distances in Å follow each position.
Positions (direct):
Mg1 0.0000 0.0000 0.0000  2 Ir 2.64, 2 Cu 2.65, 6 Mg 2.70-2.91
Cu1 0.0000 0.0000 0.5082  6 Cu 2.48-2.70, 2 Ir 2.61
Cu2 0.5000 0.5000 0.7421  6 Cu 2.48-2.70, 2 Mg 2.65
Ir1 0.5000 0.5000 0.2564  2 Cu 2.61, 2 Mg 2.64, 6 Ir 2.70-2.91



Entry 3:
DFT (GGA-PBE) results for a relaxed structure of Ga4Sn5Pb.

Properties
Space-group type: P2/m, No. 10
E_tot (eV/atom): -3.5394
DOS at the Fermi energy (states/eV/cell): 2.5
Formation enthalpy at 0 K (kcal/mol of atoms): 1.00
Total moment (μB/cell): 0.0

a = 3.3861 Å, b = 3.9851 Å, c = 18.2665 Å
α = 90.00°, β = 90.00°, γ = 90.00°
Closest atoms and distances in Å follow each position.
Positions (direct):
Ga1 0.0026 0.0000 0.0950  8 Sn 3.13-3.14, 4 Ga 3.39-3.48
Ga2 0.0064 0.0000 0.2855  8 Sn 3.11-3.15, 3 Ga 3.39-3.48
Ga3 0.9936 0.0000 0.7145  8 Sn 3.11-3.15, 3 Ga 3.39-3.48
Ga4 0.9974 0.0000 0.9050  8 Sn 3.13-3.14, 4 Ga 3.39-3.48
Sn1 0.4959 0.5000 0.6220  4 Ga 3.11-3.12, 3 Sn 3.39-3.43, 4 Pb 3.43-3.44
Sn2 0.4966 0.5000 0.8099  8 Ga 3.14-3.15, 4 Sn 3.39-3.47
Sn3 0.5000 0.5000 0.0000  8 Ga 3.13-3.14, 4 Sn 3.39-3.47
Sn4 0.5034 0.5000 0.1901  8 Ga 3.14-3.15, 4 Sn 3.39-3.47
Sn5 0.5041 0.5000 0.3780  4 Ga 3.11-3.12, 3 Sn 3.39-3.43, 4 Pb 3.43-3.44
Pb1 0.0000 0.0000 0.5000  2 Pb 3.39, 8 Sn 3.43-3.44



Entry 4:
DFT (GGA-PBE) results for a relaxed structure of SrReW.

Properties
Space-group type: P3m1, No. 156
E_tot (eV/atom): -8.0200
DOS at the Fermi energy (states/eV/cell): 2.1
Formation enthalpy at 0 K (kcal/mol of atoms): 23.24
Total moment (μB/cell): 0.0

a = 3.1779 Å, b = 3.1779 Å, c = 7.4077 Å
α = 90.00°, β = 90.00°, γ = 120.00°
Closest atoms and distances in Å follow each position.
Positions (direct):
Sr1 0.0000 0.0000 0.0000  6 Sr 3.18, 3 Re 3.32, 3 W 3.44
Re1 0.6667 0.3333 0.6270  3 W 2.52
W1 0.3333 0.6667 0.3932  3 Re 2.52



Entry 5:
DFT (GGA-PBE) results for a relaxed structure of Sm5YSn4.

Properties
Space-group type: C2/m, No. 12
E_tot (eV/atom): -5.1618
DOS at the Fermi energy (states/eV/cell): 6.6
Formation enthalpy at 0 K (kcal/mol of atoms): -12.79
Total moment (μB/cell): 0.0

a = 8.6106 Å, b = 8.6106 Å, c = 7.2433 Å
α = 90.34°, β = 90.34°, γ = 36.32°
Closest atoms and distances in Å follow each position.
Positions (direct):
Sm1 0.0000 0.0000 0.0000  6 Sn 3.26-3.40, 2 Y 3.62
Sm2 0.3333 0.3333 0.4932  5 Sn 3.16-3.35, 1 Sm 3.54
Sm3 0.3341 0.3341 0.0043  5 Sn 3.19-3.37, 1 Sm 3.54
Sm4 0.6659 0.6659 0.9957  5 Sn 3.19-3.37, 1 Sm 3.54
Sm5 0.6667 0.6667 0.5068  5 Sn 3.16-3.35, 1 Sm 3.54
Y1 0.0000 0.0000 0.5000  6 Sn 3.22-3.37
Sn1 0.1747 0.1747 0.7492  7 Sm 3.19-3.40, 1 Y 3.37
Sn2 0.4917 0.4917 0.7457  6 Sm 3.16-3.37, 2 Y 3.22
Sn3 0.5083 0.5083 0.2543  6 Sm 3.16-3.37, 2 Y 3.22
Sn4 0.8253 0.8253 0.2508  7 Sm 3.19-3.40, 1 Y 3.37



Entry 6:
DFT (GGA-PBE) results for a relaxed structure of Ac4NiTe2S.

Properties
Space-group type: P2/m, No. 10
E_tot (eV/atom): -5.3625
DOS at the Fermi energy (states/eV/cell): 5.9
Total moment (μB/cell): 0.0
ΔE_f (raw) (meV per atom): -1284.3

a = 7.9051 Å, b = 4.3679 Å, c = 8.1840 Å
α = 90.00°, β = 108.69°, γ = 90.00°
Closest atoms and distances in Å follow each position.
Positions (direct):
Ac1 0.2216 0.0000 0.2086  2 Ni 2.97, 1 S 3.19
Ac2 0.2609 0.5000 0.7780  2 S 3.07, 1 Ni 3.16, 3 Te 3.35-3.39
Ac3 0.7391 0.5000 0.2220  2 S 3.07, 1 Ni 3.16, 3 Te 3.35-3.39
Ac4 0.7784 0.0000 0.7914  2 Ni 2.97, 1 S 3.19
Ni1 0.0000 0.5000 0.0000  6 Ac 2.97-3.16
Te1 0.0000 0.0000 0.5000  6 Ac 3.35-3.38
Te2 0.5000 0.5000 0.5000  6 Ac 3.39-3.46
S1 0.5000 0.0000 0.0000  6 Ac 3.07-3.19



Entry 7:
DFT (GGA-PBE) results for a relaxed structure of Sm6Te3Rh2Se.

Properties
Space-group type: C2/m, No. 12
E_tot (eV/atom): -5.9057
DOS at the Fermi energy (states/eV/cell): 5.1
Total moment (μB/cell): 0.0
ΔE_f (raw) (meV per atom): -1245.1

a = 9.7878 Å, b = 9.7878 Å, c = 8.8829 Å
α = 106.11°, β = 106.11°, γ = 24.79°
Closest atoms and distances in Å follow each position.
Positions (direct):
Sm1 0.0153 0.0153 0.2474  1 Rh 2.81, 2 Se 2.99, 2 Te 3.15
Sm2 0.3244 0.3244 0.4339  3 Rh 2.85-2.88
Sm3 0.3316 0.3316 0.8753  2 Rh 2.84, 1 Se 3.09
Sm4 0.6684 0.6684 0.1247  2 Rh 2.84, 1 Se 3.09
Sm5 0.6756 0.6756 0.5661  3 Rh 2.85-2.88
Sm6 0.9847 0.9847 0.7526  1 Rh 2.81, 2 Se 2.99, 2 Te 3.15
Te1 0.1596 0.1596 0.8430  6 Sm 3.21-3.31
Te2 0.5000 0.5000 0.5000  6 Sm 3.15-3.24
Te3 0.8404 0.8404 0.1570  6 Sm 3.21-3.31
Rh1 0.1689 0.1689 0.3408  6 Sm 2.81-2.88
Rh2 0.8311 0.8311 0.6592  6 Sm 2.81-2.88
Se1 0.5000 0.5000 0.0000  6 Sm 2.99-3.09



Entry 8:
DFT (GGA-PBE) results for a relaxed structure of Co5Mo.

Properties
Space-group type: Cm, No. 8
E_tot (eV/atom): -7.6404
DOS at the Fermi energy (states/eV/cell): 6.7
Formation enthalpy at 0 K (kcal/mol of atoms): 1.99
Total moment (μB/cell): 6.1

a = 4.8268 Å, b = 4.8268 Å, c = 6.0078 Å
α = 104.16°, β = 104.16°, γ = 30.96°
Closest atoms and distances in Å follow each position.
Positions (direct):
Co1 0.0000 0.0000 0.0000  10 Co 2.44-2.61, 2 Mo 2.60
Co2 0.0539 0.0539 0.6232  10 Co 2.44-2.58, 2 Mo 2.61
Co3 0.3299 0.3299 0.6793  11 Co 2.49-2.58, 1 Mo 2.54
Co4 0.6554 0.6554 0.3464  9 Co 2.47-2.63, 3 Mo 2.50-2.56
Co5 0.7116 0.7116 0.9392  10 Co 2.45-2.63, 2 Mo 2.59
Mo1 0.3795 0.3795 0.2819  10 Co 2.50-2.61, 2 Mo 2.58



Entry 9:
DFT (GGA-PBE) results for a relaxed structure of PuCdIrAu.

Properties
Space-group type: F-43m, No. 216
E_tot (eV/atom): -7.0285
DOS at the Fermi energy (states/eV/cell): 9.1
Formation enthalpy at 0 K (kcal/mol of atoms): -4.20
Total moment (μB/cell): 4.8

a = 4.8604 Å, b = 4.8604 Å, c = 4.8604 Å
α = 60.00°, β = 60.00°, γ = 60.00°
Closest atoms and distances in Å follow each position.
Positions (direct):
Pu1 0.0000 0.0000 0.0000  4 Ir 2.98, 4 Au 2.98
Cd1 0.5000 0.5000 0.5000  4 Ir 2.98, 4 Au 2.98
Ir1 0.2500 0.2500 0.2500  4 Cd 2.98, 4 Pu 2.98
Au1 0.7500 0.7500 0.7500  4 Cd 2.98, 4 Pu 2.98



Entry 10:
DFT (GGA-PBE) results for a relaxed structure of LaCr3Co.

Properties
Space-group type: Pm-3m, No. 221
E_tot (eV/atom): -5.8891
DOS at the Fermi energy (states/eV/cell): 9.2
Formation enthalpy at 0 K (kcal/mol of atoms): 52.85
Total moment (μB/cell): 0.0

a = 4.4436 Å, b = 4.4436 Å, c = 4.4436 Å
α = 90.00°, β = 90.00°, γ = 90.00°
Closest atoms and distances in Å follow each position.
Positions (direct):
La1 0.0000 0.0000 0.0000  6 Cr 2.22
Cr1 0.0000 0.0000 0.5000  2 La 2.22
Cr2 0.0000 0.5000 0.0000  2 La 2.22
Cr3 0.5000 0.0000 0.0000  2 La 2.22
Co1 0.5000 0.5000 0.5000  12 Cr 3.14



Copy entry 3 word for word.
DFT (GGA-PBE) results for a relaxed structure of Ga4Sn5Pb.

Properties
Space-group type: P2/m, No. 10
E_tot (eV/atom): -3.5394
DOS at the Fermi energy (states/eV/cell): 2.5
Formation enthalpy at 0 K (kcal/mol of atoms): 1.00
Total moment (μB/cell): 0.0

a = 3.3861 Å, b = 3.9851 Å, c = 18.2665 Å
α = 90.00°, β = 90.00°, γ = 90.00°
Closest atoms and distances in Å follow each position.
Positions (direct):
Ga1 0.0026 0.0000 0.0950  8 Sn 3.13-3.14, 4 Ga 3.39-3.48
Ga2 0.0064 0.0000 0.2855  8 Sn 3.11-3.15, 3 Ga 3.39-3.48
Ga3 0.9936 0.0000 0.7145  8 Sn 3.11-3.15, 3 Ga 3.39-3.48
Ga4 0.9974 0.0000 0.9050  8 Sn 3.13-3.14, 4 Ga 3.39-3.48
Sn1 0.4959 0.5000 0.6220  4 Ga 3.11-3.12, 3 Sn 3.39-3.43, 4 Pb 3.43-3.44
Sn2 0.4966 0.5000 0.8099  8 Ga 3.14-3.15, 4 Sn 3.39-3.47
Sn3 0.5000 0.5000 0.0000  8 Ga 3.13-3.14, 4 Sn 3.39-3.47
Sn4 0.5034 0.5000 0.1901  8 Ga 3.14-3.15, 4 Sn 3.39-3.47
Sn5 0.5041 0.5000 0.3780  4 Ga 3.11-3.12, 3 Sn 3.39-3.43, 4 Pb 3.43-3.44
Pb1 0.0000 0.0000 0.5000  2 Pb 3.39, 8 Sn 3.43-3.44



Q: Which of these has the lowest DOS at the Fermi energy?
A: SrReW



Q: Look up the DOS at the Fermi energy of the sixth one.
A: 5.9 states/eV/cell